Compound: MoPbW2
Source: Alexandria
Functional: GGA-PBE
Structure: optimized geometry

The structure in CIF format:
```
data_MoPbW2
_chemical_formula_sum 'Mo2 Pb2 W4'
_symmetry_space_group_name_H-M 'P 1'
_symmetry_Int_Tables_number 1
_symmetry_space_group_name_Hall 'P 1'
_cell_length_a 4.112
_cell_length_b 4.112
_cell_length_c 8.343
_cell_angle_alpha 90.00
_cell_angle_beta 90.00
_cell_angle_gamma 90.00
loop_
_atom_site_label
_atom_site_fract_x
_atom_site_fract_y
_atom_site_fract_z
_atom_site_occupancy
Mo1 0.000 0.000 0.000 1
Mo2 0.500 0.500 0.500 1
Pb1 0.000 0.500 0.750 1
Pb2 0.500 0.000 0.250 1
W1 0.000 0.000 0.500 1
W2 0.000 0.500 0.250 1
W3 0.500 0.000 0.750 1
W4 0.500 0.500 0.000 1
```

## Properties
- energy of formation from the pure elements (kJ/mol of formula units) = 308
- space-group type = No. 119
- size of the total moment (μB per cell) = 0.00

***

Compound: MoPbW2
Source: Alexandria
Functional: GGA-PBE
Structure: optimized geometry

The structure in CIF format:
```
data_MoPbW2
_chemical_formula_sum 'Mo2 Pb2 W4'
_symmetry_space_group_name_H-M 'P 1'
_symmetry_Int_Tables_number 1
_symmetry_space_group_name_Hall 'P 1'
_cell_length_a 4.015
_cell_length_b 4.015
_cell_length_c 8.741
_cell_angle_alpha 90.00
_cell_angle_beta 90.00
_cell_angle_gamma 90.00
loop_
_atom_site_label
_atom_site_fract_x
_atom_site_fract_y
_atom_site_fract_z
_atom_site_occupancy
Mo1 0.000 0.000 0.000 1
Mo2 0.500 0.500 0.500 1
Pb1 0.000 0.000 0.500 1
Pb2 0.500 0.500 0.000 1
W1 0.000 0.500 0.250 1
W2 0.000 0.500 0.750 1
W3 0.500 0.000 0.250 1
W4 0.500 0.000 0.750 1
```

## Properties
- energy of formation from the pure elements (kJ/mol of formula units) = 306
- space-group type = No. 139
- size of the total moment (μB per cell) = 0.00

***

Compound: MoPbW2
Source: Alexandria
Functional: GGA-PBE
Structure: optimized geometry

The structure in CIF format:
```
data_MoPbW2
_chemical_formula_sum 'Mo1 Pb1 W2'
_symmetry_space_group_name_H-M 'P 1'
_symmetry_Int_Tables_number 1
_symmetry_space_group_name_Hall 'P 1'
_cell_length_a 3.363
_cell_length_b 4.550
_cell_length_c 4.611
_cell_angle_alpha 90.00
_cell_angle_beta 90.00
_cell_angle_gamma 90.00
loop_
_atom_site_label
_atom_site_fract_x
_atom_site_fract_y
_atom_site_fract_z
_atom_site_occupancy
Mo1 0.000 0.000 0.000 1
Pb1 0.500 0.500 0.000 1
W1 0.000 0.500 0.500 1
W2 0.500 0.000 0.500 1
```

## Properties
- energy of formation from the pure elements (kJ/mol of formula units) = 308
- space-group type = No. 47
- size of the total moment (μB per cell) = 0.00

***

Compound: MoPbW
Source: Alexandria
Functional: GGA-PBE
Structure: optimized geometry

The structure in CIF format:
```
data_MoPbW
_chemical_formula_sum 'Mo1 Pb1 W1'
_symmetry_space_group_name_H-M 'P 1'
_symmetry_Int_Tables_number 1
_symmetry_space_group_name_Hall 'P 1'
_cell_length_a 4.660
_cell_length_b 4.660
_cell_length_c 2.961
_cell_angle_alpha 90.00
_cell_angle_beta 90.00
_cell_angle_gamma 120.00
loop_
_atom_site_label
_atom_site_fract_x
_atom_site_fract_y
_atom_site_fract_z
_atom_site_occupancy
Mo1 0.000 0.000 0.000 1
Pb1 0.333 0.667 0.357 1
W1 0.667 0.333 0.716 1
```

## Properties
- energy of formation from the pure elements (kJ/mol of formula units) = 257
- excess energy over the best structure of this formula in the dataset (meV per atom) = 252
- space-group type = No. 156
- size of the total moment (μB per cell) = 0.00

***

Compound: MoPbW2
Source: Alexandria
Functional: GGA-PBE
Structure: optimized geometry

The structure in CIF format:
```
data_MoPbW2
_chemical_formula_sum 'Mo2 Pb2 W4'
_symmetry_space_group_name_H-M 'P 1'
_symmetry_Int_Tables_number 1
_symmetry_space_group_name_Hall 'P 1'
_cell_length_a 3.275
_cell_length_b 4.778
_cell_length_c 9.403
_cell_angle_alpha 90.00
_cell_angle_beta 90.00
_cell_angle_gamma 90.00
loop_
_atom_site_label
_atom_site_fract_x
_atom_site_fract_y
_atom_site_fract_z
_atom_site_occupancy
Mo1 0.000 0.000 0.000 1
Mo2 0.500 0.500 0.000 1
Pb1 0.000 0.000 0.500 1
Pb2 0.500 0.500 0.500 1
W1 0.000 0.500 0.225 1
W2 0.000 0.500 0.775 1
W3 0.500 0.000 0.225 1
W4 0.500 0.000 0.775 1
```

## Properties
- energy of formation from the pure elements (kJ/mol of formula units) = 263
- space-group type = No. 65
- size of the total moment (μB per cell) = 0.00

***

Compound: Mo2PbW
Source: Alexandria
Functional: GGA-PBE
Structure: optimized geometry

The structure in CIF format:
```
data_Mo2PbW
_chemical_formula_sum 'Mo4 Pb2 W2'
_symmetry_space_group_name_H-M 'P 1'
_symmetry_Int_Tables_number 1
_symmetry_space_group_name_Hall 'P 1'
_cell_length_a 4.132
_cell_length_b 4.132
_cell_length_c 8.239
_cell_angle_alpha 90.00
_cell_angle_beta 90.00
_cell_angle_gamma 90.00
loop_
_atom_site_label
_atom_site_fract_x
_atom_site_fract_y
_atom_site_fract_z
_atom_site_occupancy
Mo1 0.000 0.500 0.250 1
Mo2 0.000 0.500 0.750 1
Mo3 0.500 0.000 0.250 1
Mo4 0.500 0.000 0.750 1
Pb1 0.000 0.000 0.000 1
Pb2 0.500 0.500 0.500 1
W1 0.000 0.000 0.500 1
W2 0.500 0.500 0.000 1
```

## Properties
- energy of formation from the pure elements (kJ/mol of formula units) = 268
- space-group type = No. 139
- size of the total moment (μB per cell) = 0.00